1.
Below is crystalline VCuTc2 at its relaxed geometry, with properties calculated at the PBE level.

Lattice parameters (Å, degrees): 3.6498 3.6498 18.0456 90.00 90.00 90.00
Space group I-42d (No. 122)
Unique sites:
V1 0.0000 0.0000 0.0000 [4 per cell]
Cu1 0.0000 0.0000 0.5000 [4 per cell]
Tc1 0.2304 0.2500 0.6250 [8 per cell]

Energy above the lowest structure with this stoichiometry   583 meV per atom
ΔH_f (0 K)   605 meV/atom
Fermi-level density of states   1.22 states/eV per atom
Crystal system   tetragonal

2.
Below is crystalline ZrV2CuTc at its relaxed geometry, with properties calculated at the PBE level.

Lattice parameters (Å, degrees): 4.2984 4.2984 4.8971 90.00 90.00 90.00
Space group P4/mmm (No. 123)
Unique sites:
Zr1 0.0000 0.0000 0.0000 [1 per cell]
V1 0.0000 0.5000 0.5000 [2 per cell]
Cu1 0.0000 0.0000 0.5000 [1 per cell]
Tc1 0.5000 0.5000 0.0000 [1 per cell]

ΔH_f (0 K)   1183 meV/atom
Fermi-level density of states   1.75 states/eV per atom
Crystal system   tetragonal

3.
Below is crystalline Cu2TcW at its relaxed geometry, with properties calculated at the PBE level.

Lattice parameters (Å, degrees): 2.6017 4.1031 5.1425 90.00 90.34 90.00
Space group P2/m (No. 10)
Unique sites:
Cu1 0.9996 0.0000 0.2497 [2 per cell]
Tc1 0.5000 0.5000 0.0000 [1 per cell]
W1 0.5000 0.5000 0.5000 [1 per cell]

Energy above the lowest structure with this stoichiometry   58 meV per atom
ΔH_f (0 K)   256 meV/atom
Fermi-level density of states   0.36 states/eV per atom
Crystal system   monoclinic

4.
Below is crystalline CuTcW at its relaxed geometry, with properties calculated at the PBE level.

Lattice parameters (Å, degrees): 2.6201 4.0764 8.1051 90.00 90.00 90.00
Space group Imm2 (No. 44)
Unique sites:
Cu1 0.0000 0.0000 0.0000 [2 per cell]
Tc1 0.0000 0.0000 0.6616 [2 per cell]
W1 0.0000 0.0000 0.3342 [2 per cell]

Energy above the lowest structure with this stoichiometry   22 meV per atom
ΔH_f (0 K)   187 meV/atom
Fermi-level density of states   0.55 states/eV per atom
Crystal system   orthorhombic

5.
Below is crystalline Cu2Tc2W at its relaxed geometry, with properties calculated at the PBE level.

Lattice parameters (Å, degrees): 3.5650 3.5650 11.4759 90.00 90.00 90.00
Space group I4/mmm (No. 139)
Unique sites:
Cu1 0.0000 0.0000 0.0953 [4 per cell]
Tc1 0.0000 0.5000 0.2500 [4 per cell]
W1 0.0000 0.0000 0.5000 [2 per cell]

Energy above the lowest structure with this stoichiometry   297 meV per atom
ΔH_f (0 K)   713 meV/atom
Fermi-level density of states   0.77 states/eV per atom
Crystal system   tetragonal

6.
Below is crystalline Cu2TcW at its relaxed geometry, with properties calculated at the PBE level.

Lattice parameters (Å, degrees): 6.0161 6.0161 6.0161 90.00 90.00 90.00
Space group Fm-3m (No. 225)
Unique sites:
Cu1 0.2500 0.2500 0.2500 [8 per cell]
Tc1 0.0000 0.0000 0.0000 [4 per cell]
W1 0.0000 0.0000 0.5000 [4 per cell]

Energy above the lowest structure with this stoichiometry   307 meV per atom
ΔH_f (0 K)   506 meV/atom
Fermi-level density of states   0.66 states/eV per atom
Crystal system   cubic

7.
Below is crystalline CuTc3W at its relaxed geometry, with properties calculated at the PBE level.

Lattice parameters (Å, degrees): 4.6993 4.6993 4.6993 90.00 90.00 90.00
Space group Pm-3m (No. 221)
Unique sites:
Cu1 0.0000 0.0000 0.0000 [1 per cell]
Tc1 0.0000 0.5000 0.5000 [3 per cell]
W1 0.5000 0.5000 0.5000 [1 per cell]

Energy above the lowest structure with this stoichiometry   209 meV per atom
ΔH_f (0 K)   1913 meV/atom
Fermi-level density of states   1.04 states/eV per atom
Crystal system   cubic

8.
Below is crystalline Cu2TcW at its relaxed geometry, with properties calculated at the PBE level.

Lattice parameters (Å, degrees): 3.7966 3.7966 7.6079 90.00 90.00 90.00
Space group I-4m2 (No. 119)
Unique sites:
Cu1 0.0000 0.0000 0.0000 [2 per cell]
Cu2 0.0000 0.5000 0.2500 [2 per cell]
Tc1 0.0000 0.5000 0.7500 [2 per cell]
W1 0.0000 0.0000 0.5000 [2 per cell]

Energy above the lowest structure with this stoichiometry   34 meV per atom
ΔH_f (0 K)   233 meV/atom
Fermi-level density of states   0.60 states/eV per atom
Crystal system   tetragonal

9.
Below is crystalline Cu2TcW at its relaxed geometry, with properties calculated at the PBE level.

Lattice parameters (Å, degrees): 5.1443 8.2364 2.5946 90.00 90.00 90.00
Space group Cmmm (No. 65)
Unique sites:
Cu1 0.2500 0.2500 0.0000 [4 per cell]
Tc1 0.0000 0.0000 0.5000 [2 per cell]
W1 0.0000 0.5000 0.5000 [2 per cell]

Energy above the lowest structure with this stoichiometry   70 meV per atom
ΔH_f (0 K)   268 meV/atom
Fermi-level density of states   0.42 states/eV per atom
Crystal system   orthorhombic

10.
Below is crystalline CuTcW at its relaxed geometry, with properties calculated at the PBE level.

Lattice parameters (Å, degrees): 2.6617 2.6617 12.2119 90.00 90.00 90.00
Space group I4mm (No. 107)
Unique sites:
Cu1 0.0000 0.0000 0.0000 [2 per cell]
Tc1 0.0000 0.0000 0.6586 [2 per cell]
W1 0.0000 0.0000 0.3373 [2 per cell]

Energy above the lowest structure with this stoichiometry   190 meV per atom
ΔH_f (0 K)   354 meV/atom
Fermi-level density of states   1.08 states/eV per atom
Crystal system   tetragonal

11.
Below is crystalline Cu2TcW at its relaxed geometry, with properties calculated at the PBE level.

Lattice parameters (Å, degrees): 6.8572 6.8572 5.0358 90.00 90.00 90.00
Space group I-42d (No. 122)
Unique sites:
Cu1 0.2490 0.2500 0.1250 [8 per cell]
Tc1 0.0000 0.0000 0.0000 [4 per cell]
W1 0.0000 0.0000 0.5000 [4 per cell]

Energy above the lowest structure with this stoichiometry   683 meV per atom
ΔH_f (0 K)   882 meV/atom
Fermi-level density of states   1.18 states/eV per atom
Crystal system   tetragonal

12.
Below is crystalline CuTcW at its relaxed geometry, with properties calculated at the PBE level.

Lattice parameters (Å, degrees): 5.9178 5.9178 5.9178 90.00 90.00 90.00
Space group F-43m (No. 216)
Unique sites:
Cu1 0.0000 0.0000 0.0000 [4 per cell]
Tc1 0.2500 0.2500 0.2500 [4 per cell]
W1 0.0000 0.0000 0.5000 [4 per cell]

Energy above the lowest structure with this stoichiometry   669 meV per atom
ΔH_f (0 K)   834 meV/atom
Fermi-level density of states   1.09 states/eV per atom
Crystal system   cubic

13.
Below is crystalline Cu2TcW at its relaxed geometry, with properties calculated at the PBE level.

Lattice parameters (Å, degrees): 2.6062 2.6062 8.1041 90.00 90.00 90.00
Space group P4/mmm (No. 123)
Unique sites:
Cu1 0.0000 0.0000 0.2467 [2 per cell]
Tc1 0.5000 0.5000 0.0000 [1 per cell]
W1 0.5000 0.5000 0.5000 [1 per cell]

Energy above the lowest structure with this stoichiometry   109 meV per atom
ΔH_f (0 K)   307 meV/atom
Fermi-level density of states   0.89 states/eV per atom
Crystal system   tetragonal

14.
Below is crystalline CuTc3W at its relaxed geometry, with properties calculated at the PBE level.

Lattice parameters (Å, degrees): 4.3747 4.3747 4.3747 90.00 90.00 90.00
Space group Pm-3m (No. 221)
Unique sites:
Cu1 0.0000 0.0000 0.0000 [1 per cell]
Tc1 0.0000 0.0000 0.5000 [3 per cell]
W1 0.5000 0.5000 0.5000 [1 per cell]

Energy above the lowest structure with this stoichiometry   0 meV per atom
ΔH_f (0 K)   1704 meV/atom
Fermi-level density of states   1.56 states/eV per atom
Crystal system   cubic

15.
Below is crystalline Cu2TcW at its relaxed geometry, with properties calculated at the PBE level.

Lattice parameters (Å, degrees): 2.6539 2.6539 7.8279 90.00 90.00 90.00
Space group P4mm (No. 99)
Unique sites:
Cu1 0.0000 0.0000 0.0000 [1 per cell]
Cu2 0.5000 0.5000 0.2225 [1 per cell]
Tc1 0.0000 0.0000 0.4661 [1 per cell]
W1 0.5000 0.5000 0.7494 [1 per cell]

Energy above the lowest structure with this stoichiometry   61 meV per atom
ΔH_f (0 K)   260 meV/atom
Fermi-level density of states   0.73 states/eV per atom
Crystal system   tetragonal

16.
Below is crystalline Cu2TcW at its relaxed geometry, with properties calculated at the PBE level.

Lattice parameters (Å, degrees): 2.6234 3.9342 5.3985 90.00 90.00 90.00
Space group Pmm2 (No. 25)
Unique sites:
Cu1 0.0000 0.0000 0.0000 [1 per cell]
Cu2 0.5000 0.5000 0.2214 [1 per cell]
Tc1 0.0000 0.0000 0.4855 [1 per cell]
W1 0.5000 0.5000 0.7362 [1 per cell]

Energy above the lowest structure with this stoichiometry   63 meV per atom
ΔH_f (0 K)   262 meV/atom
Fermi-level density of states   0.54 states/eV per atom
Crystal system   orthorhombic

17.
Below is crystalline Cu2TcW at its relaxed geometry, with properties calculated at the PBE level.

Lattice parameters (Å, degrees): 8.9623 2.5839 4.8287 90.00 96.50 90.00
Space group Cm (No. 8)
Unique sites:
Cu1 0.0000 0.0000 0.0000 [2 per cell]
Cu2 0.2475 0.5000 0.2194 [2 per cell]
Tc1 0.2543 0.0000 0.7292 [2 per cell]
W1 0.4949 0.0000 0.4883 [2 per cell]

Energy above the lowest structure with this stoichiometry   67 meV per atom
ΔH_f (0 K)   265 meV/atom
Fermi-level density of states   0.63 states/eV per atom
Crystal system   monoclinic

18.
Below is crystalline CuTcW at its relaxed geometry, with properties calculated at the PBE level.

Lattice parameters (Å, degrees): 3.1647 4.3099 12.8527 90.00 90.00 90.00
Space group Fmm2 (No. 42)
Unique sites:
Cu1 0.0000 0.0000 0.0000 [4 per cell]
Tc1 0.0000 0.0000 0.6662 [4 per cell]
W1 0.0000 0.0000 0.3339 [4 per cell]

Energy above the lowest structure with this stoichiometry   120 meV per atom
ΔH_f (0 K)   285 meV/atom
Fermi-level density of states   0.83 states/eV per atom
Crystal system   orthorhombic

19.
Below is crystalline Cu2TcW at its relaxed geometry, with properties calculated at the PBE level.

Lattice parameters (Å, degrees): 3.6568 3.6568 8.1935 90.00 90.00 90.00
Space group I4/mmm (No. 139)
Unique sites:
Cu1 0.0000 0.5000 0.2500 [4 per cell]
Tc1 0.0000 0.0000 0.0000 [2 per cell]
W1 0.0000 0.0000 0.5000 [2 per cell]

Energy above the lowest structure with this stoichiometry   31 meV per atom
ΔH_f (0 K)   229 meV/atom
Fermi-level density of states   0.67 states/eV per atom
Crystal system   tetragonal

20.
Below is crystalline Cu2TcW at its relaxed geometry, with properties calculated at the PBE level.

Lattice parameters (Å, degrees): 2.6291 4.2087 5.0553 90.00 98.40 90.00
Space group Pm (No. 6)
Unique sites:
Cu1 0.0000 0.0000 0.0000 [1 per cell]
Cu2 0.0739 0.5000 0.2380 [1 per cell]
Tc1 0.6447 0.0000 0.4861 [1 per cell]
W1 0.4299 0.5000 0.7516 [1 per cell]

Energy above the lowest structure with this stoichiometry   0 meV per atom
ΔH_f (0 K)   198 meV/atom
Fermi-level density of states   0.57 states/eV per atom
Crystal system   monoclinic